Compound: K2ZrBAu
Source: Alexandria via LeMat-Bulk
Functional: meta-GGA SCAN
Structure: PBEsol geometry

Output
total energy = -23.874 eV/atom
calculated density = 3.8 Mg/m³
energy relative to the elements = 915 meV/atom

Structure (POSCAR):
```
K2ZrBAu
1.0
4.0036 0.0000 0.0000
0.0000 6.3995 0.0000
0.0000 0.0000 6.3995
K B Au Zr
2 1 1 1
direct
0.0000 0.0000 0.5000 K
0.0000 0.5000 0.0000 K
0.5000 0.0000 0.0000 B
0.0000 0.0000 0.0000 Au
0.5000 0.5000 0.5000 Zr
```